VASP calculation (PBE) on an optimized crystal structure of LaPr4Sn3. Values from VASP.

Summary:
Total energy   -5.095 eV per atom
Energy above the most stable polymorph in this dataset   86 meV/atom
Total moment   0.0 μB/f.u.
Formation energy from the elements   -0.589 eV per atom

```
&SYSTEM
  ibrav = 0, nat = 8, ntyp = 3
/
ATOMIC_SPECIES
Sn 118.71 Sn.upf
Pr 140.91 Pr.upf
La 138.91 La.upf
CELL_PARAMETERS angstrom
4.9559 0.0000 0.0000
0.0000 9.0764 2.2698
-2.4780 -3.0823 5.0957
ATOMIC_POSITIONS angstrom
Sn 0.0000 5.1433 5.2504
Sn 2.4780 4.5382 1.1349
Sn 2.4780 0.8508 2.1151
Pr 0.0000 3.1367 2.4589
Pr 2.4780 6.5977 3.5426
Pr 0.0000 -0.6037 3.8229
Pr 2.4780 2.8574 4.9065
La 0.0000 0.0000 0.0000
```

VASP calculation (PBE) on an optimized crystal structure of LaPr4Sn2. Values from VASP.

Summary:
Total energy   -4.998 eV per atom
Energy above the most stable polymorph in this dataset   0 meV/atom
Total moment   0.0 μB/f.u.
Formation energy from the elements   -0.419 eV per atom

```
&SYSTEM
  ibrav = 0, nat = 14, ntyp = 3
/
ATOMIC_SPECIES
Sn 118.71 Sn.upf
Pr 140.91 Pr.upf
La 138.91 La.upf
CELL_PARAMETERS angstrom
-4.3015 -2.1158 -6.8346
-5.2047 -1.7954 3.8315
-0.7566 8.8615 3.1246
ATOMIC_POSITIONS angstrom
Sn -7.4543 -2.2778 -2.3862
Sn -2.8085 7.2281 2.5077
Sn -7.2290 2.5710 0.1920
Sn -3.0338 2.3793 -0.0705
Pr -8.3969 0.9551 -2.1517
Pr -5.3574 -1.5546 -5.0703
Pr -1.8659 3.9952 2.2732
Pr -7.7474 4.2070 3.1127
Pr -5.2137 5.0811 1.2475
Pr -4.9054 6.5049 5.1918
Pr -5.0491 -0.1308 -1.1260
Pr -2.5154 0.7432 -2.9912
La -5.0187 3.6562 -2.1684
La -5.2441 1.2941 2.2900
```

Q: Number 2 is which compound?
A: LaPr4Sn2